Entry 1:
Below is a geometry-optimized PmSm2DySc2 structure, with properties calculated at the PBE level.

abc: 6.3288 17.6659 3.3484
angles: 90.00 90.00 90.00
Fractional positions:
Pm 0.0000 0.0000 0.0000
Pm 0.5000 0.5000 0.5000
Sm 0.2207 0.1916 0.0000
Sm 0.2793 0.6916 0.5000
Sm 0.7207 0.3084 0.5000
Sm 0.7793 0.8084 0.0000
Dy 0.0000 0.5000 0.0000
Dy 0.5000 0.0000 0.5000
Sc 0.2176 0.3556 0.5000
Sc 0.2824 0.8556 0.0000
Sc 0.7176 0.1444 0.0000
Sc 0.7824 0.6444 0.5000

- Spin magnetization: 0.00 μB/f.u.
- Energy of formation from the pure elements: 0.273 eV per atom
- Theoretical density: 6.19 g/cm3

---

Entry 2:
Below is a geometry-optimized SrCdRe2 structure, with properties calculated at the PBE level.

abc: 3.1677 3.1677 8.4223
angles: 90.00 90.00 90.00
Fractional positions:
Sr 0.0000 0.0000 0.0000
Cd 0.5000 0.5000 0.3201
Re 0.0000 0.0000 0.5601
Re 0.5000 0.5000 0.7113

- Spin magnetization: 0.00 μB/f.u.
- Energy of formation from the pure elements: 0.366 eV per atom
- Theoretical density: 11.25 g/cm3

---

Entry 3:
Below is a geometry-optimized Nd2Ge6Pd structure, with properties calculated at the PBE level.

abc: 4.1996 11.3692 11.3692
angles: 20.83 90.00 90.00
Fractional positions:
Nd 0.0000 0.0000 0.0000
Nd 0.0000 0.3375 0.3375
Ge 0.0000 0.6210 0.6210
Ge 0.0000 0.7332 0.7332
Ge 0.5000 0.1228 0.1228
Ge 0.5000 0.2351 0.2351
Ge 0.5000 0.4486 0.4486
Ge 0.5000 0.8797 0.8797
Pd 0.5000 0.5591 0.5591

- Spin magnetization: 0.00 μB/f.u.
- Energy of formation from the pure elements: -0.530 eV per atom
- Theoretical density: 7.15 g/cm3

---

> Which value of spin magnetization does entry 1 give?

0.00 μB/f.u.

---

> spin magnetization of number 2 (SrCdRe2)?

0.00 μB/f.u.

---

> What is the formula in the first record?

PmSm2DySc2